[1]
# LaTm3Tl3

A geometry-optimized LaTm3Tl3 structure (GGA-PBE, Alexandria via LeMat-Bulk).

a b c (Å): 5.2473 9.4591 9.4591
angles (deg): 120.00 90.00 90.00
Element x y z (fractional)
La 0.2500 0.6667 0.3333
La 0.7500 0.3333 0.6667
Tm 0.2500 0.7729 0.7735
Tm 0.2500 0.2265 0.9994
Tm 0.2500 0.0006 0.2271
Tm 0.7500 0.2271 0.2265
Tm 0.7500 0.7735 0.0006
Tm 0.7500 0.9994 0.7729
Tl 0.7500 0.6261 0.5536
Tl 0.7500 0.4464 0.0725
Tl 0.7500 0.9275 0.3739
Tl 0.2500 0.3739 0.4464
Tl 0.2500 0.5536 0.9275
Tl 0.2500 0.0725 0.6261

Computed properties:
E_form = -0.2578 eV per atom
Symmetry = P6_3/m
Total DFT energy (no corrections) = -54.5 eV per cell
ρ = 10.282 Mg/m³

***

[2]
# La3TmTl

A geometry-optimized La3TmTl structure (GGA-PBE, Alexandria via LeMat-Bulk).

a b c (Å): 5.9423 5.8931 9.8570
angles (deg): 90.00 72.46 90.00
Element x y z (fractional)
La 0.7664 0.2500 0.1155
La 0.3829 0.2500 0.8825
La 0.5747 0.2500 0.4989
La 0.2654 0.7500 0.1175
La 0.8819 0.7500 0.8845
La 0.0736 0.7500 0.5011
Tm 0.4726 0.7500 0.7032
Tm 0.1758 0.2500 0.2968
Tl 0.6708 0.7500 0.3067
Tl 0.9775 0.2500 0.6933

Computed properties:
E_form = -0.1042 eV per atom
Symmetry = Cmcm
Total DFT energy (no corrections) = -44.3 eV per cell
ρ = 7.972 Mg/m³

***

[3]
# La3Tm2Tl3

A geometry-optimized La3Tm2Tl3 structure (GGA-PBE, Alexandria via LeMat-Bulk).

a b c (Å): 3.4078 8.9670 8.9670
angles (deg): 120.00 90.00 90.00
Element x y z (fractional)
La 0.0000 0.7603 0.7603
La 0.0000 0.2397 0.0000
La 0.0000 0.0000 0.2397
Tm 0.0000 0.3333 0.6667
Tm 0.0000 0.6667 0.3333
Tl 0.5000 0.3941 0.3941
Tl 0.5000 0.6059 0.0000
Tl 0.5000 0.0000 0.6059

Computed properties:
ΔE to the lowest computed polymorph = 53 kJ/mol of formula units
E_form = -0.2457 eV per atom
Symmetry = P-62m
Total DFT energy (no corrections) = -32.8 eV per cell
ρ = 9.571 Mg/m³

***

[4]
# La9Tm4Tl11

A geometry-optimized La9Tm4Tl11 structure (GGA-PBE, Alexandria via LeMat-Bulk).

a b c (Å): 3.5375 14.5787 14.5787
angles (deg): 105.80 90.00 90.00
Element x y z (fractional)
La 0.5000 0.6362 0.1412
La 0.5000 0.3638 0.8588
La 0.5000 0.1412 0.6362
La 0.5000 0.8588 0.3638
La 0.5000 0.7853 0.9464
La 0.5000 0.2147 0.0536
La 0.5000 0.9464 0.7853
La 0.5000 0.0536 0.2147
La 0.5000 0.5000 0.5000
Tm 0.5000 0.5486 0.7453
Tm 0.5000 0.4514 0.2547
Tm 0.5000 0.7453 0.5486
Tm 0.5000 0.2547 0.4514
Tl 0.0000 0.5738 0.9330
Tl 0.0000 0.4262 0.0670
Tl 0.0000 0.9330 0.5738
Tl 0.0000 0.0670 0.4262
Tl 0.0000 0.6353 0.3647
Tl 0.0000 0.3647 0.6353
Tl 0.0000 0.8437 0.1563
Tl 0.0000 0.1563 0.8437
Tl 0.0000 0.0000 0.0000
Tl 0.0000 0.7245 0.7245
Tl 0.0000 0.2755 0.2755

Computed properties:
E_form = -0.3244 eV per atom
Symmetry = Cmmm
Total DFT energy (no corrections) = -96.0 eV per cell
ρ = 9.581 Mg/m³

***

[5]
# La2Tm8Tl

A geometry-optimized La2Tm8Tl structure (GGA-PBE, Alexandria via LeMat-Bulk).

a b c (Å): 4.9258 7.8189 9.3594
angles (deg): 104.49 105.26 90.00
Element x y z (fractional)
La 0.7814 0.3701 0.5627
La 0.2186 0.6299 0.4373
Tm 0.4127 0.5575 0.8254
Tm 0.6804 0.9068 0.3608
Tm 0.8669 0.8293 0.7339
Tm 0.9568 0.2764 0.9136
Tm 0.1331 0.1707 0.2661
Tm 0.3196 0.0932 0.6392
Tm 0.5873 0.4425 0.1746
Tm 0.0432 0.7236 0.0864
Tl 0.5000 0.0000 0.0000

Computed properties:
E_form = -0.0156 eV per atom
Symmetry = C2/m
Total DFT energy (no corrections) = -48.2 eV per cell
ρ = 9.066 Mg/m³

***

[6]
# La3Tm5Tl2

A geometry-optimized La3Tm5Tl2 structure (GGA-PBE, Alexandria via LeMat-Bulk).

a b c (Å): 6.4939 10.6331 10.6331
angles (deg): 93.11 72.22 72.22
Element x y z (fractional)
La 0.2500 0.0000 0.0000
La 0.7500 0.0000 0.0000
La 0.3749 0.3628 0.8874
La 0.6251 0.6372 0.1126
La 0.8749 0.8874 0.3628
La 0.1251 0.1126 0.6372
Tm 0.2500 0.5000 0.5000
Tm 0.7500 0.5000 0.5000
Tm 0.5072 0.7428 0.7428
Tm 0.9928 0.2572 0.2572
Tm 0.4928 0.2572 0.2572
Tm 0.0072 0.7428 0.7428
Tm 0.1091 0.5540 0.2278
Tm 0.8909 0.4460 0.7722
Tm 0.6091 0.2278 0.5540
Tm 0.3909 0.7722 0.4460
Tl 0.1415 0.7121 0.0049
Tl 0.8585 0.2879 0.9951
Tl 0.6415 0.0049 0.7121
Tl 0.3585 0.9951 0.2879

Computed properties:
E_form = 0.0453 eV per atom
Symmetry = Ibam
Total DFT energy (no corrections) = -82.8 eV per cell
ρ = 8.444 Mg/m³

***

[7]
# La2Tm3Tl

A geometry-optimized La2Tm3Tl structure (GGA-PBE, Alexandria via LeMat-Bulk).

a b c (Å): 5.6461 3.8326 8.9227
angles (deg): 102.40 90.00 90.00
Element x y z (fractional)
La 0.0000 0.6614 0.3228
La 0.0000 0.3386 0.6772
Tm 0.5000 0.1702 0.3404
Tm 0.5000 0.5000 0.0000
Tm 0.5000 0.8298 0.6596
Tl 0.0000 0.0000 0.0000

Computed properties:
E_form = -0.0416 eV per atom
Symmetry = Cmmm
Total DFT energy (no corrections) = -25.9 eV per cell
ρ = 8.709 Mg/m³

***

[8]
# LaTm2Tl4

A geometry-optimized LaTm2Tl4 structure (GGA-PBE, Alexandria via LeMat-Bulk).

a b c (Å): 5.2618 5.2618 7.7089
angles (deg): 90.00 90.00 90.00
Element x y z (fractional)
Tl 0.5000 0.0000 0.2768
Tl 0.0000 0.5000 0.7232
Tl 0.5000 0.0000 0.7232
Tl 0.0000 0.5000 0.2768
Tm 0.0000 0.0000 0.0000
Tm 0.5000 0.5000 0.5000
La 0.5000 0.5000 0.0000

Computed properties:
E_form = -0.2018 eV per atom
Symmetry = P4/mmm
Total DFT energy (no corrections) = -24.7 eV per cell
ρ = 10.070 Mg/m³

***

[9]
# LaTm2Tl9

A geometry-optimized LaTm2Tl9 structure (GGA-PBE, Alexandria via LeMat-Bulk).

a b c (Å): 4.8019 4.8019 14.3551
angles (deg): 90.00 90.00 90.00
Element x y z (fractional)
La 0.0000 0.0000 0.0000
Tm 0.0000 0.0000 0.3371
Tm 0.0000 0.0000 0.6629
Tl 0.5000 0.5000 0.0000
Tl 0.5000 0.5000 0.3355
Tl 0.5000 0.5000 0.6645
Tl 0.5000 0.0000 0.1735
Tl 0.5000 0.0000 0.5000
Tl 0.5000 0.0000 0.8265
Tl 0.0000 0.5000 0.1735
Tl 0.0000 0.5000 0.5000
Tl 0.0000 0.5000 0.8265

Computed properties:
E_form = -0.2399 eV per atom
Symmetry = P4/mmm
Total DFT energy (no corrections) = -38.0 eV per cell
ρ = 11.620 Mg/m³

***

[10]
# La2Tm6Tl

A geometry-optimized La2Tm6Tl structure (GGA-PBE, Alexandria via LeMat-Bulk).

a b c (Å): 3.5083 10.1754 9.5654
angles (deg): 122.13 100.52 90.00
Element x y z (fractional)
La 0.1493 0.6496 0.2992
La 0.8507 0.3504 0.7008
Tm 0.1774 0.3393 0.3538
Tm 0.8226 0.9855 0.6462
Tm 0.8226 0.6607 0.6462
Tm 0.5000 0.2902 0.0000
Tm 0.1774 0.0145 0.3538
Tm 0.5000 0.7098 0.0000
Tl 0.0000 0.0000 0.0000

Computed properties:
E_form = 0.0097 eV per atom
Symmetry = Immm
Total DFT energy (no corrections) = -39.0 eV per cell
ρ = 8.797 Mg/m³